(1)
This record from Alexandria via LeMat-Bulk describes a relaxed Tb5Y3Ho2 crystal. The functional is GGA-PBE.

For the magnetic moment, the calculation gives 0.0 μB/f.u. For the volume, the calculation gives 33.042 Å³/atom. For the total energy, the calculation gives -198.71 eV/cell.

It has space group C2/c (No. 15), with a = 10.697 Å, b = 15.631 Å, c = 9.543 Å, α = 90.00°, β = 124.08° and γ = 90.00°. The inequivalent atoms are Tb at (0.000, 0.030, 0.250), Tb at (0.000, 0.231, 0.250), Tb at (0.000, 0.469, 0.750), Tb at (0.248, 0.110, 0.747), Y at (0.000, 0.267, 0.750), Y at (0.147, 0.380, 0.546) and Ho at (0.150, 0.119, 0.049).


(2)
This record from Alexandria via LeMat-Bulk describes a relaxed Mg2Sc5PdRu2 crystal. The functional is GGA-PBE.

For the magnetic moment, the calculation gives 0.0 μB/f.u. For the volume, the calculation gives 20.603 Å³/atom. For the total energy, the calculation gives -125.12 eV/cell.

It has space group P4/mbm (No. 127), with a = 11.150 Å, b = 11.150 Å, c = 3.314 Å, α = 90.00°, β = 90.00° and γ = 90.00°. The inequivalent atoms are Mg at (0.179, 0.321, 0.000), Sc at (0.000, 0.500, 0.500), Sc at (0.066, 0.801, 0.500), Pd at (0.000, 0.000, 0.000) and Ru at (0.133, 0.633, 0.000).


> Look up the magnetic moment of the first one.

0.0 μB/f.u.


> Look up the magnetic moment of the second one.

0.0 μB/f.u.